Entry 1:
The following is a DFT calculation (PBE-GGA) of a relaxed Al2MoAu crystal.

Properties
Energy relative to the elements, eV/atom: -0.154
DOS(E_F), states/eV per cell: 2.7
Space group: P4/mmm

Cell: 2.857 2.857 7.810 Å, 90.00 90.00 90.00°
Positions (direct):
Al  0.000  0.000  0.242
Al  0.000  0.000  0.758
Mo  0.500  0.500  0.000
Au  0.500  0.500  0.500

=====

Entry 2:
The following is a DFT calculation (PBE-GGA) of a relaxed AlMo2Au crystal.

Properties
Energy relative to the elements, eV/atom: 0.064
DOS(E_F), states/eV per cell: 3.6
Space group: P4mm

Cell: 2.742 2.742 8.567 Å, 90.00 90.00 90.00°
Positions (direct):
Al  0.000  0.000  0.000
Mo  0.000  0.000  0.505
Mo  0.500  0.500  0.767
Au  0.500  0.500  0.244

=====

Entry 3:
The following is a DFT calculation (PBE-GGA) of a relaxed Al2MoAu crystal.

Properties
Energy relative to the elements, eV/atom: -0.185
DOS(E_F), states/eV per cell: 1.2
Space group: Pmmm

Cell: 2.845 4.162 5.502 Å, 90.00 90.00 90.00°
Positions (direct):
Al  0.000  0.000  0.229
Al  0.000  0.000  0.771
Mo  0.500  0.500  0.000
Au  0.000  0.500  0.500

=====

Entry 4:
The following is a DFT calculation (PBE-GGA) of a relaxed Al2Mo2Au crystal.

Properties
Energy relative to the elements, eV/atom: 0.013
DOS(E_F), states/eV per cell: 11.2
Space group: P4/mbm

Cell: 6.656 6.656 3.546 Å, 90.00 90.00 90.00°
Positions (direct):
Al  0.131  0.369  0.000
Al  0.369  0.869  0.000
Al  0.631  0.131  0.000
Al  0.869  0.631  0.000
Mo  0.171  0.671  0.500
Mo  0.329  0.171  0.500
Mo  0.671  0.829  0.500
Mo  0.829  0.329  0.500
Au  0.000  0.000  0.000
Au  0.500  0.500  0.000

=====

Entry 5:
The following is a DFT calculation (PBE-GGA) of a relaxed Al2MoAu2 crystal.

Properties
Energy relative to the elements, eV/atom: -0.097
DOS(E_F), states/eV per cell: 1.6
Space group: P4/mbm

Cell: 7.375 7.375 2.974 Å, 90.00 90.00 90.00°
Positions (direct):
Al  0.146  0.354  0.000
Al  0.354  0.854  0.000
Al  0.646  0.146  0.000
Al  0.854  0.646  0.000
Mo  0.000  0.000  0.000
Mo  0.500  0.500  0.000
Au  0.153  0.653  0.500
Au  0.347  0.153  0.500
Au  0.653  0.847  0.500
Au  0.847  0.347  0.500

=====

Entry 6:
The following is a DFT calculation (PBE-GGA) of a relaxed AlMo2Au crystal.

Properties
Energy relative to the elements, eV/atom: 0.058
DOS(E_F), states/eV per cell: 3.9
Space group: I-4m2

Cell: 4.873 4.873 4.873 Å, 131.23 131.23 71.44°
Positions (direct):
Al  0.000  0.000  0.000
Mo  0.500  0.500  0.000
Mo  0.750  0.250  0.500
Au  0.250  0.750  0.500

=====

Entry 7:
The following is a DFT calculation (PBE-GGA) of a relaxed Al2MoAu crystal.

Properties
Energy relative to the elements, eV/atom: 0.201
DOS(E_F), states/eV per cell: 5.0
Space group: I-42d

Cell: 5.697 5.697 5.697 Å, 104.68 104.68 119.55°
Positions (direct):
Al  0.111  0.625  0.986
Al  0.375  0.361  0.486
Al  0.639  0.125  0.014
Al  0.875  0.889  0.514
Mo  0.250  0.750  0.500
Mo  0.500  0.500  0.000
Au  0.000  0.000  0.000
Au  0.750  0.250  0.500

=====

Entry 8:
The following is a DFT calculation (PBE-GGA) of a relaxed AlMo2Au crystal.

Properties
Energy relative to the elements, eV/atom: 0.119
DOS(E_F), states/eV per cell: 2.9
Space group: R3m

Cell: 9.430 9.430 9.430 Å, 17.34 17.34 17.34°
Positions (direct):
Al  0.000  0.000  0.000
Mo  0.497  0.497  0.497
Mo  0.746  0.746  0.746
Au  0.252  0.252  0.252